No. 1
A plane-wave DFT calculation with PBE was carried out for crystalline ZrFeBr2 at its relaxed geometry.

Properties
Energy above the lowest structure with this stoichiometry (meV per atom): 727
Crystal system: tetragonal
Formation energy (no corrections) (eV per atom): 0.282

a = 6.0968 Å, b = 6.0968 Å, c = 10.7545 Å
α = 90.00°, β = 90.00°, γ = 90.00°
With the nearest neighbours (Å) after each atom.
Space group I-42d (No. 122)
One atom of each set of equivalent atoms:
1 Zr 0.0000 0.0000 0.0000 [4 per cell]  4 Br 2.72
2 Fe 0.0000 0.0000 0.5000 [4 per cell]  4 Br 2.38
3 Br 0.2033 0.2500 0.6250 [8 per cell]  2 Fe 2.38



No. 2
A plane-wave DFT calculation with PBE was carried out for crystalline FeWBr at its relaxed geometry.

Properties
Energy above the lowest structure with this stoichiometry (meV per atom): 457
Crystal system: hexagonal
Formation energy (no corrections) (eV per atom): 1.065

a = 4.3796 Å, b = 4.3796 Å, c = 2.9033 Å
α = 90.00°, β = 90.00°, γ = 120.00°
With the nearest neighbours (Å) after each atom.
Space group P-6m2 (No. 187)
One atom of each set of equivalent atoms:
1 Fe 0.0000 0.0000 0.0000 [1 per cell]  2 Fe 2.90, 6 Br 2.92, 6 W 2.92
2 W 0.6667 0.3333 0.5000 [1 per cell]  3 Br 2.53
3 Br 0.3333 0.6667 0.5000 [1 per cell]  3 W 2.53



No. 3
A plane-wave DFT calculation with PBE was carried out for crystalline NaPm3C4O12 at its relaxed geometry.

Properties
Crystal system: trigonal
Formation energy (no corrections) (eV per atom): -1.994

a = 10.4122 Å, b = 10.4122 Å, c = 8.9672 Å
α = 90.00°, β = 90.00°, γ = 120.00°
With the nearest neighbours (Å) after each atom.
Space group R32 (No. 155, hexagonal axes)
One atom of each set of equivalent atoms:
1 Na 0.0000 0.0000 0.0000 [3 per cell]  6 O 2.69
2 Pm 0.0000 0.5237 0.0000 [9 per cell]  6 O 2.35-2.42
3 C 0.0000 0.0000 0.5000 [3 per cell]  3 O 1.33
4 C 0.0000 0.4790 0.5000 [9 per cell]  3 O 1.30-1.32
5 O 0.0000 0.6057 0.5000 [9 per cell]  1 C 1.32
6 O 0.0000 0.8719 0.5000 [9 per cell]  1 C 1.33
7 O 0.0234 0.2097 0.8082 [18 per cell]  1 C 1.30



No. 4
A plane-wave DFT calculation with PBE was carried out for crystalline TbPrAu at its relaxed geometry.

Properties
Energy above the lowest structure with this stoichiometry (meV per atom): 9
Energy of formation from the pure elements (meV per atom): -544
Crystal system: tetragonal

a = 4.8991 Å, b = 4.8991 Å, c = 7.3814 Å
α = 90.00°, β = 90.00°, γ = 90.00°
With the nearest neighbours (Å) after each atom.
Space group P4/nmm (No. 129, origin choice 2)
One atom of each set of equivalent atoms:
1 Tb 0.2500 0.7500 0.0000 [2 per cell]  4 Au 2.96
2 Pr 0.2500 0.2500 0.3796 [2 per cell]  1 Au 2.92
3 Au 0.2500 0.2500 0.7755 [2 per cell]  1 Pr 2.92, 4 Tb 2.96